(1)
La4GeP2S | PBE | optimized geometry

Summary:
Its total DFT energy (no corrections) is -6.458 eV per atom. The value obtained for the formation energy (no corrections) is -12.388 eV per formula unit.

Lattice parameters (Å, degrees): 4.2704 7.4475 7.4295 70.70 90.00 90.00
Element x y z (fractional)
1 P 0.5000 0.0000 0.5000
2 P 0.0000 0.0000 0.0000
3 La 0.5000 0.2434 0.7545
4 La 0.5000 0.7566 0.2455
5 La 0.0000 0.7565 0.7473
6 La 0.0000 0.2435 0.2527
7 Ge 0.0000 0.5000 0.5000
8 S 0.5000 0.5000 0.0000



(2)
LaSnGeP2 | PBE | optimized geometry

Summary:
Its formation energy is 658 meV per atom. Its total DFT energy (no corrections) is -4.215 eV per atom.

Lattice parameters (Å, degrees): 4.9671 6.1071 4.9671 90.00 90.00 90.00
Element x y z (fractional)
1 La 0.0000 0.5000 0.0000
2 Ge 0.5000 0.5000 0.5000
3 P 0.0000 0.0000 0.5000
4 P 0.5000 0.0000 0.0000
5 Sn 0.0000 0.0000 0.0000



(3)
SrLaGeP2 | PBE | optimized geometry

Summary:
Its formation energy is 358 meV per atom. Its total DFT energy (no corrections) is -4.051 eV per atom.

Lattice parameters (Å, degrees): 5.2946 5.3265 5.2946 90.00 90.00 90.00
Element x y z (fractional)
1 Ge 0.0000 0.5000 0.0000
2 P 0.0000 0.0000 0.5000
3 P 0.5000 0.0000 0.0000
4 La 0.5000 0.5000 0.5000
5 Sr 0.0000 0.0000 0.0000



(4)
La4GeTe2P | PBE | optimized geometry

Summary:
Its total DFT energy (no corrections) is -5.983 eV per atom. The value obtained for the formation energy (no corrections) is -11.840 eV per formula unit.

Lattice parameters (Å, degrees): 4.4365 7.6726 7.8719 108.99 90.00 90.00
Element x y z (fractional)
1 Te 0.5000 0.0000 0.5000
2 Te 0.0000 0.5000 0.5000
3 La 0.5000 0.7621 0.7798
4 La 0.5000 0.2379 0.2202
5 La 0.0000 0.2567 0.7761
6 La 0.0000 0.7433 0.2239
7 P 0.0000 0.0000 0.0000
8 Ge 0.5000 0.5000 0.0000



(5)
La6GeTe3P2 | PBE | optimized geometry

Summary:
Its total DFT energy (no corrections) is -6.074 eV per atom. The value obtained for the formation energy (no corrections) is -18.465 eV per formula unit.

Lattice parameters (Å, degrees): 4.4116 9.0170 10.0466 104.82 102.68 90.00
Element x y z (fractional)
1 Ge 0.5000 0.0000 0.0000
2 La 0.6615 0.1026 0.3229
3 La 0.3385 0.8974 0.6771
4 La 0.0075 0.2375 0.0149
5 La 0.6741 0.5655 0.3481
6 La 0.9925 0.7625 0.9851
7 La 0.3259 0.4345 0.6519
8 Te 0.1663 0.8325 0.3325
9 Te 0.5000 0.5000 0.0000
10 Te 0.8337 0.1675 0.6675
11 P 0.1680 0.3355 0.3360
12 P 0.8320 0.6645 0.6640



(6)
La6Ge2Te3P | PBE | optimized geometry

Summary:
Its total DFT energy (no corrections) is -5.885 eV per atom. The value obtained for the formation energy (no corrections) is -16.982 eV per formula unit.

Lattice parameters (Å, degrees): 4.4581 9.0572 10.0932 104.27 102.76 90.00
Element x y z (fractional)
1 Ge 0.8348 0.6699 0.6695
2 Ge 0.1652 0.3301 0.3305
3 La 0.0055 0.2317 0.0110
4 La 0.3281 0.4310 0.6563
5 La 0.6595 0.0955 0.3189
6 La 0.6719 0.5690 0.3437
7 La 0.9945 0.7683 0.9890
8 La 0.3405 0.9045 0.6811
9 P 0.5000 0.0000 0.0000
10 Te 0.8333 0.1666 0.6665
11 Te 0.5000 0.5000 0.0000
12 Te 0.1667 0.8334 0.3335



(7)
La8Ge3Te4P | PBE | optimized geometry

Summary:
Its total DFT energy (no corrections) is -5.836 eV per atom. The value obtained for the formation energy (no corrections) is -22.136 eV per formula unit.

Lattice parameters (Å, degrees): 8.9321 9.0736 8.9324 119.50 120.00 90.00
Element x y z (fractional)
1 La 0.7426 0.7225 0.9826
2 La 0.2578 0.2736 0.5156
3 La 0.7599 0.2773 0.5198
4 La 0.2574 0.2775 0.0174
5 La 0.7422 0.7264 0.4844
6 La 0.2400 0.7225 0.9826
7 La 0.2401 0.7227 0.4802
8 La 0.7600 0.2775 0.0174
9 Te 0.0000 0.0000 0.0000
10 Te 0.5000 0.0000 0.5000
11 Te 0.5000 0.0000 0.0000
12 Te 0.0000 0.0000 0.5000
13 P 0.0000 0.5000 0.0000
14 Ge 0.5000 0.5000 0.0000
15 Ge 0.5000 0.5000 0.5000
16 Ge 0.0000 0.5000 0.5000



(8)
LaGePW2 | PBE | optimized geometry

Summary:
Its formation energy is 1240 meV per atom. Its total DFT energy (no corrections) is -6.932 eV per atom.

Lattice parameters (Å, degrees): 4.6415 5.6646 4.6415 90.00 90.00 90.00
Element x y z (fractional)
1 Ge 0.0000 0.0000 0.0000
2 La 0.0000 0.5000 0.0000
3 P 0.5000 0.5000 0.5000
4 W 0.0000 0.0000 0.5000
5 W 0.5000 0.0000 0.0000



The lowest total DFT energy (no corrections) belongs to which entry? LaGePW2



Which of these has the lowest total DFT energy (no corrections)? LaGePW2



Which formula does entry 3 have? SrLaGeP2



Repeat the third record exactly.
SrLaGeP2 | PBE | optimized geometry

Summary:
Its formation energy is 358 meV per atom. Its total DFT energy (no corrections) is -4.051 eV per atom.

Lattice parameters (Å, degrees): 5.2946 5.3265 5.2946 90.00 90.00 90.00
Element x y z (fractional)
1 Ge 0.0000 0.5000 0.0000
2 P 0.0000 0.0000 0.5000
3 P 0.5000 0.0000 0.0000
4 La 0.5000 0.5000 0.5000
5 Sr 0.0000 0.0000 0.0000